# 1
VASP calculation (PBE) on a relaxed structure of Tm4PuRu2.

Computed properties:
Volume ... 24.3 Å³ per atom
Energy of formation ... -196 meV per atom
Energy ... -7.449 eV per atom
Magnetic moment ... 6.20 μB per formula unit

Geometry as CIF:
```
data_Tm4PuRu2
_chemical_formula_sum 'Tm8 Pu2 Ru4'
_space_group_name_H-M_alt 'P 1'
_space_group_IT_number 1
_space_group_name_Hall 'P 1'
_cell_length_a 5.8979
_cell_length_b 6.7909
_cell_length_c 8.8643
_cell_angle_alpha 101.60
_cell_angle_beta 93.84
_cell_angle_gamma 100.36
loop_
_atom_site_label
_atom_site_type_symbol
_atom_site_fract_x
_atom_site_fract_y
_atom_site_fract_z
_atom_site_occupancy
Tm1 Tm 0.0000 0.0000 0.0000 1
Tm2 Tm 0.0039 0.4883 0.9066 1
Tm3 Tm 0.2761 0.0685 0.3520 1
Tm4 Tm 0.4736 0.6303 0.4143 1
Tm5 Tm 0.5230 0.7357 0.0795 1
Tm6 Tm 0.6185 0.2895 0.1239 1
Tm7 Tm 0.8837 0.9910 0.6004 1
Tm8 Tm 0.9394 0.4570 0.4944 1
Pu1 Pu 0.3734 0.8865 0.7601 1
Pu2 Pu 0.4439 0.3159 0.7208 1
Ru1 Ru 0.1663 0.3921 0.1817 1
Ru2 Ru 0.6923 0.6742 0.7507 1
Ru3 Ru 0.7618 0.0536 0.3134 1
Ru4 Ru 0.9393 0.6783 0.2482 1
```

# 2
VASP calculation (PBE) on a relaxed structure of Tl4SnAu5.

Computed properties:
Volume ... 24.5 Å³ per atom
Energy of formation ... -16 meV per atom
Energy ... -3.001 eV per atom
Magnetic moment ... 0.00 μB per formula unit

Geometry as CIF:
```
data_Tl4SnAu5
_chemical_formula_sum 'Tl8 Sn2 Au10'
_space_group_name_H-M_alt 'I 4 m m'
_space_group_IT_number 107
_space_group_name_Hall 'I 4 -2'
_cell_length_a 9.6385
_cell_length_b 9.6385
_cell_length_c 5.2723
_cell_angle_alpha 90.00
_cell_angle_beta 90.00
_cell_angle_gamma 90.00
loop_
_atom_site_label
_atom_site_type_symbol
_atom_site_fract_x
_atom_site_fract_y
_atom_site_fract_z
_atom_site_occupancy
Tl1 Tl 0.0000 0.3135 0.0000 1
Sn1 Sn 0.0000 0.0000 0.6648 1
Au1 Au 0.0000 0.0000 0.1639 1
Au2 Au 0.1925 0.1925 0.4540 1
```

# 3
VASP calculation (PBE) on a relaxed structure of ScBe2ClF.

Computed properties:
Volume ... 26.7 Å³ per atom
Energy ... -3.094 eV per atom
Magnetic moment ... 0.00 μB per formula unit
Formation energy from raw total energies ... 39.2 kJ per mole of atoms

Geometry as CIF:
```
data_ScBe2ClF
_chemical_formula_sum 'Sc1 Be2 Cl1 F1'
_space_group_name_H-M_alt 'P 4/m m m'
_space_group_IT_number 123
_space_group_name_Hall '-P 4 2'
_cell_length_a 5.2984
_cell_length_b 5.2984
_cell_length_c 4.7514
_cell_angle_alpha 90.00
_cell_angle_beta 90.00
_cell_angle_gamma 90.00
loop_
_atom_site_label
_atom_site_type_symbol
_atom_site_fract_x
_atom_site_fract_y
_atom_site_fract_z
_atom_site_occupancy
Sc1 Sc 0.0000 0.0000 0.0000 1
Be1 Be 0.0000 0.5000 0.0000 1
Cl1 Cl 0.0000 0.0000 0.5000 1
F1 F 0.5000 0.5000 0.5000 1
```

# 4
VASP calculation (PBE) on a relaxed structure of LaMgTa2.

Computed properties:
Volume ... 21.9 Å³ per atom
Energy of formation ... 445 meV per atom
Energy ... -7.112 eV per atom
Magnetic moment ... 0.00 μB per formula unit

Geometry as CIF:
```
data_LaMgTa2
_chemical_formula_sum 'La4 Mg4 Ta8'
_space_group_name_H-M_alt 'F -4 3 m'
_space_group_IT_number 216
_space_group_name_Hall 'F -4 2 3'
_cell_length_a 7.0465
_cell_length_b 7.0465
_cell_length_c 7.0465
_cell_angle_alpha 90.00
_cell_angle_beta 90.00
_cell_angle_gamma 90.00
loop_
_atom_site_label
_atom_site_type_symbol
_atom_site_fract_x
_atom_site_fract_y
_atom_site_fract_z
_atom_site_occupancy
La1 La 0.0000 0.0000 0.0000 1
Mg1 Mg 0.2500 0.2500 0.2500 1
Ta1 Ta 0.0000 0.0000 0.5000 1
Ta2 Ta 0.2500 0.2500 0.7500 1
```

# 5
VASP calculation (PBE) on a relaxed structure of Ho3CrSe6.

Computed properties:
Volume ... 26.8 Å³ per atom
Energy ... -5.907 eV per atom
Magnetic moment ... 2.98 μB per formula unit
Formation energy from raw total energies ... -142.8 kJ per mole of atoms

Geometry as CIF:
```
data_Ho3CrSe6
_chemical_formula_sum 'Ho18 Cr6 Se36'
_space_group_name_H-M_alt 'R -3'
_space_group_IT_number 148
_space_group_name_Hall '-R 3'
_cell_length_a 11.5388
_cell_length_b 11.5388
_cell_length_c 13.9199
_cell_angle_alpha 90.00
_cell_angle_beta 90.00
_cell_angle_gamma 120.00
loop_
_atom_site_label
_atom_site_type_symbol
_atom_site_fract_x
_atom_site_fract_y
_atom_site_fract_z
_atom_site_occupancy
Ho1 Ho 0.0529 0.7805 0.2017 1
Cr1 Cr 0.0000 0.0000 0.0000 1
Cr2 Cr 0.0000 0.0000 0.5000 1
Se1 Se 0.0170 0.8207 0.3989 1
Se2 Se 0.0330 0.8444 0.8871 1
```

# 6
VASP calculation (PBE) on a relaxed structure of Dy3Zn8.

Computed properties:
Volume ... 19.3 Å³ per atom
Energy of formation ... -337 meV per atom
Energy ... -2.519 eV per atom
Magnetic moment ... 0.00 μB per formula unit

Geometry as CIF:
```
data_Dy3Zn8
_chemical_formula_sum 'Dy6 Zn16'
_space_group_name_H-M_alt 'I m m m'
_space_group_IT_number 71
_space_group_name_Hall '-I 2 2'
_cell_length_a 3.5577
_cell_length_b 4.4212
_cell_length_c 26.9991
_cell_angle_alpha 90.00
_cell_angle_beta 90.00
_cell_angle_gamma 90.00
loop_
_atom_site_label
_atom_site_type_symbol
_atom_site_fract_x
_atom_site_fract_y
_atom_site_fract_z
_atom_site_occupancy
Dy1 Dy 0.0000 0.0000 0.0000 1
Dy2 Dy 0.0000 0.5000 0.1441 1
Zn1 Zn 0.0000 0.0000 0.2588 1
Zn2 Zn 0.0000 0.0000 0.4521 1
Zn3 Zn 0.0000 0.5000 0.3121 1
Zn4 Zn 0.0000 0.5000 0.4059 1
```